! Mn2Hg2O7 (GGA+U, relaxed); values from VASP
! Final energy, Ry per atom: -0.38867
&SYSTEM
  ibrav = 0, nat = 22, ntyp = 3
/
ATOMIC_SPECIES
Hg 200.59 Hg.upf
Mn 54.94 Mn.upf
O 16.00 O.upf
CELL_PARAMETERS angstrom
-1.3541 -5.9124 3.8149
4.7973 -2.3637 4.7690
-1.3758 0.4990 7.0144
ATOMIC_POSITIONS crystal
Hg 0.6250 0.1250 0.6250
Hg 0.6250 0.6250 0.6250
Hg 0.1250 0.6250 0.6250
Hg 0.6250 0.6250 0.1250
Mn 0.1250 0.6250 0.1250
Mn 0.1250 0.1250 0.1250
Mn 0.1250 0.1250 0.6250
Mn 0.6250 0.1250 0.1250
O 0.7500 0.7500 0.7500
O 0.1962 0.8038 0.1962
O 0.5000 0.5000 0.5000
O 0.4462 0.0538 0.0538
O 0.4462 0.0538 0.4462
O 0.1962 0.8038 0.8038
O 0.4462 0.4462 0.0538
O 0.8038 0.1962 0.8038
O 0.1962 0.1962 0.8038
O 0.8038 0.1962 0.1962
O 0.0538 0.0538 0.4462
O 0.8038 0.8038 0.1962
O 0.0538 0.4462 0.0538
O 0.0538 0.4462 0.4462